# 1
# Na2AsBr4 GGA-PBE optimized geometry
data_Na2AsBr4
_chemical_formula_sum 'Na4 As2 Br8'
_cell_length_a 7.4005
_cell_length_b 7.4005
_cell_length_c 8.1385
_cell_angle_alpha 90.00
_cell_angle_beta 90.00
_cell_angle_gamma 90.00
_symmetry_space_group_name_H-M 'I -4 2 m'
_symmetry_Int_Tables_number 121
_symmetry_space_group_name_Hall 'I -4 2'
loop_
_atom_site_label
_atom_site_fract_x
_atom_site_fract_y
_atom_site_fract_z
Na1 0.0000 0.5000 0.2500
As1 0.0000 0.0000 0.0000
Br1 0.2502 0.2502 0.0541
# offset from the most stable computed form	0.000	kcal/mol of atoms

***

# 2
# NaAs3Br GGA-PBE optimized geometry
data_NaAs3Br
_chemical_formula_sum 'Na1 As3 Br1'
_cell_length_a 5.1383
_cell_length_b 5.1383
_cell_length_c 5.1383
_cell_angle_alpha 90.00
_cell_angle_beta 90.00
_cell_angle_gamma 90.00
_symmetry_space_group_name_H-M 'P m -3 m'
_symmetry_Int_Tables_number 221
_symmetry_space_group_name_Hall '-P 4 2 3'
loop_
_atom_site_label
_atom_site_fract_x
_atom_site_fract_y
_atom_site_fract_z
Na1 0.0000 0.0000 0.0000
As1 0.0000 0.0000 0.5000
Br1 0.5000 0.5000 0.5000
# Fermi-level density of states	8.09	states/eV per cell
# offset from the most stable computed form	6.748	kcal/mol of atoms

***

# 3
# Na2AsBr4 GGA-PBE optimized geometry
data_Na2AsBr4
_chemical_formula_sum 'Na4 As2 Br8'
_cell_length_a 5.5411
_cell_length_b 5.5411
_cell_length_c 14.8415
_cell_angle_alpha 90.00
_cell_angle_beta 90.00
_cell_angle_gamma 90.00
_symmetry_space_group_name_H-M 'I 4/m m m'
_symmetry_Int_Tables_number 139
_symmetry_space_group_name_Hall '-I 4 2'
loop_
_atom_site_label
_atom_site_fract_x
_atom_site_fract_y
_atom_site_fract_z
Na1 0.0000 0.0000 0.1289
As1 0.0000 0.0000 0.5000
Br1 0.0000 0.0000 0.3206
Br2 0.0000 0.5000 0.0000
# Fermi-level density of states	4.93	states/eV per cell
# offset from the most stable computed form	1.153	kcal/mol of atoms

***

# 4
# Na4AsBr2 GGA-PBE optimized geometry
data_Na4AsBr2
_chemical_formula_sum 'Na8 As2 Br4'
_cell_length_a 5.5770
_cell_length_b 5.5770
_cell_length_c 15.4551
_cell_angle_alpha 90.00
_cell_angle_beta 90.00
_cell_angle_gamma 90.00
_symmetry_space_group_name_H-M 'I 4/m m m'
_symmetry_Int_Tables_number 139
_symmetry_space_group_name_Hall '-I 4 2'
loop_
_atom_site_label
_atom_site_fract_x
_atom_site_fract_y
_atom_site_fract_z
Na1 0.0000 0.0000 0.1824
Na2 0.0000 0.5000 0.0000
As1 0.0000 0.0000 0.0000
Br1 0.0000 0.0000 0.3617
# Fermi-level density of states	8.67	states/eV per cell

***

# 5
# NaAs3Br GGA-PBE optimized geometry
data_NaAs3Br
_chemical_formula_sum 'Na1 As3 Br1'
_cell_length_a 5.2147
_cell_length_b 5.2147
_cell_length_c 5.2147
_cell_angle_alpha 90.00
_cell_angle_beta 90.00
_cell_angle_gamma 90.00
_symmetry_space_group_name_H-M 'P m -3 m'
_symmetry_Int_Tables_number 221
_symmetry_space_group_name_Hall '-P 4 2 3'
loop_
_atom_site_label
_atom_site_fract_x
_atom_site_fract_y
_atom_site_fract_z
Na1 0.0000 0.0000 0.0000
As1 0.0000 0.5000 0.5000
Br1 0.5000 0.5000 0.5000
# Fermi-level density of states	6.03	states/eV per cell
# offset from the most stable computed form	0.000	kcal/mol of atoms

***

# 6
# Na2AsBr5 GGA-PBE optimized geometry
data_Na2AsBr5
_chemical_formula_sum 'Na2 As1 Br5'
_cell_length_a 5.9445
_cell_length_b 7.3696
_cell_length_c 7.6544
_cell_angle_alpha 71.50
_cell_angle_beta 67.22
_cell_angle_gamma 66.23
_symmetry_space_group_name_H-M 'P 1'
_symmetry_Int_Tables_number 1
_symmetry_space_group_name_Hall 'P 1'
loop_
_atom_site_label
_atom_site_fract_x
_atom_site_fract_y
_atom_site_fract_z
Na1 0.0000 0.0000 0.0000
Na2 0.4014 0.7489 0.4494
As1 0.1740 0.3744 0.2245
Br1 0.1746 0.1406 0.5681
Br2 0.2815 0.6084 0.8808
Br3 0.4468 0.0457 0.0617
Br4 0.7628 0.3738 0.2251
Br5 0.9557 0.7030 0.3872
# Fermi-level density of states	0.00	states/eV per cell

***

# 7
# NaNbAsBr2 GGA-PBE optimized geometry
data_NaNbAsBr2
_chemical_formula_sum 'Na1 Nb1 As1 Br2'
_cell_length_a 5.0373
_cell_length_b 5.0373
_cell_length_c 5.4941
_cell_angle_alpha 90.00
_cell_angle_beta 90.00
_cell_angle_gamma 90.00
_symmetry_space_group_name_H-M 'P 4/m m m'
_symmetry_Int_Tables_number 123
_symmetry_space_group_name_Hall '-P 4 2'
loop_
_atom_site_label
_atom_site_fract_x
_atom_site_fract_y
_atom_site_fract_z
Na1 0.0000 0.0000 0.0000
Nb1 0.5000 0.5000 0.5000
As1 0.0000 0.0000 0.5000
Br1 0.0000 0.5000 0.0000
# Fermi-level density of states	4.82	states/eV per cell
# offset from the most stable computed form	25.625	kcal/mol of atoms

***

# 8
# NaNbAsBr2 GGA-PBE optimized geometry
data_NaNbAsBr2
_chemical_formula_sum 'Na1 Nb1 As1 Br2'
_cell_length_a 5.3413
_cell_length_b 5.3413
_cell_length_c 5.0150
_cell_angle_alpha 90.00
_cell_angle_beta 90.00
_cell_angle_gamma 90.00
_symmetry_space_group_name_H-M 'P 4/m m m'
_symmetry_Int_Tables_number 123
_symmetry_space_group_name_Hall '-P 4 2'
loop_
_atom_site_label
_atom_site_fract_x
_atom_site_fract_y
_atom_site_fract_z
Na1 0.0000 0.0000 0.0000
Nb1 0.5000 0.5000 0.5000
As1 0.5000 0.5000 0.0000
Br1 0.0000 0.5000 0.5000
# Fermi-level density of states	1.92	states/eV per cell
# offset from the most stable computed form	0.000	kcal/mol of atoms

***

# 9
# NaAsBr2O GGA-PBE optimized geometry
data_NaAsBr2O
_chemical_formula_sum 'Na1 As1 Br2 O1'
_cell_length_a 6.0024
_cell_length_b 6.0024
_cell_length_c 3.7034
_cell_angle_alpha 90.00
_cell_angle_beta 90.00
_cell_angle_gamma 90.00
_symmetry_space_group_name_H-M 'P 4/m m m'
_symmetry_Int_Tables_number 123
_symmetry_space_group_name_Hall '-P 4 2'
loop_
_atom_site_label
_atom_site_fract_x
_atom_site_fract_y
_atom_site_fract_z
Na1 0.0000 0.0000 0.0000
As1 0.5000 0.5000 0.0000
Br1 0.0000 0.5000 0.5000
O1 0.5000 0.5000 0.5000
# Fermi-level density of states	4.58	states/eV per cell
# offset from the most stable computed form	0.000	kcal/mol of atoms

***

# 10
# NaAsBr2O GGA-PBE optimized geometry
data_NaAsBr2O
_chemical_formula_sum 'Na1 As1 Br2 O1'
_cell_length_a 5.0847
_cell_length_b 5.0847
_cell_length_c 5.6903
_cell_angle_alpha 90.00
_cell_angle_beta 90.00
_cell_angle_gamma 90.00
_symmetry_space_group_name_H-M 'P 4/m m m'
_symmetry_Int_Tables_number 123
_symmetry_space_group_name_Hall '-P 4 2'
loop_
_atom_site_label
_atom_site_fract_x
_atom_site_fract_y
_atom_site_fract_z
Na1 0.0000 0.0000 0.0000
As1 0.0000 0.0000 0.5000
Br1 0.0000 0.5000 0.0000
O1 0.5000 0.5000 0.5000
# Fermi-level density of states	15.22	states/eV per cell
# offset from the most stable computed form	30.500	kcal/mol of atoms

***

# 11
# NaAs4BrO6 GGA-PBE optimized geometry
data_NaAs4BrO6
_chemical_formula_sum 'Na4 As16 Br4 O24'
_cell_length_a 19.6712
_cell_length_b 5.3264
_cell_length_c 8.2249
_cell_angle_alpha 90.00
_cell_angle_beta 90.00
_cell_angle_gamma 90.00
_symmetry_space_group_name_H-M 'P n m a'
_symmetry_Int_Tables_number 62
_symmetry_space_group_name_Hall '-P 2ac 2n'
loop_
_atom_site_label
_atom_site_fract_x
_atom_site_fract_y
_atom_site_fract_z
Na1 0.0571 0.2500 0.1110
As1 0.0499 0.2500 0.6665
As2 0.1156 0.7500 0.8503
As3 0.1659 0.7500 0.2233
As4 0.1778 0.2500 0.4197
Br1 0.2186 0.2500 0.0187
O1 0.0504 0.5021 0.8186
O2 0.0970 0.7500 0.0671
O3 0.1218 0.0024 0.3359
O4 0.1401 0.2500 0.6229
# Fermi-level density of states	0.00	states/eV per cell

***

# 12
# NaAs2OsBr GGA-PBE optimized geometry
data_NaAs2OsBr
_chemical_formula_sum 'Na1 As2 Os1 Br1'
_cell_length_a 5.0508
_cell_length_b 5.0508
_cell_length_c 4.9123
_cell_angle_alpha 90.00
_cell_angle_beta 90.00
_cell_angle_gamma 90.00
_symmetry_space_group_name_H-M 'P 4/m m m'
_symmetry_Int_Tables_number 123
_symmetry_space_group_name_Hall '-P 4 2'
loop_
_atom_site_label
_atom_site_fract_x
_atom_site_fract_y
_atom_site_fract_z
Na1 0.0000 0.0000 0.0000
As1 0.0000 0.5000 0.0000
Os1 0.5000 0.5000 0.5000
Br1 0.0000 0.0000 0.5000
# Fermi-level density of states	5.56	states/eV per cell
# offset from the most stable computed form	38.281	kcal/mol of atoms

***

# 13
# NaAsOsBr2 GGA-PBE optimized geometry
data_NaAsOsBr2
_chemical_formula_sum 'Na1 As1 Os1 Br2'
_cell_length_a 5.0637
_cell_length_b 5.0637
_cell_length_c 5.5946
_cell_angle_alpha 90.00
_cell_angle_beta 90.00
_cell_angle_gamma 90.00
_symmetry_space_group_name_H-M 'P 4/m m m'
_symmetry_Int_Tables_number 123
_symmetry_space_group_name_Hall '-P 4 2'
loop_
_atom_site_label
_atom_site_fract_x
_atom_site_fract_y
_atom_site_fract_z
Na1 0.0000 0.0000 0.0000
As1 0.0000 0.0000 0.5000
Os1 0.5000 0.5000 0.5000
Br1 0.0000 0.5000 0.0000
# Fermi-level density of states	3.79	states/eV per cell
# offset from the most stable computed form	31.273	kcal/mol of atoms

***

Number 1: V 31.8 Å³/atom, ΔE_f (raw) -0.88 eV per atom. Number 2: V 27.1 Å³/atom, ΔE_f (raw) 1.12 eV per atom. Number 3: V 32.5 Å³/atom, ΔE_f (raw) -0.83 eV per atom. Number 4: V 34.3 Å³/atom, ΔE_f (raw) -0.78 eV per atom. Number 5: V 28.4 Å³/atom, ΔE_f (raw) 0.82 eV per atom. Number 6: V 34.7 Å³/atom, ΔE_f (raw) -0.95 eV per atom. Number 7: V 27.9 Å³/atom, ΔE_f (raw) 0.68 eV per atom. Number 8: V 28.6 Å³/atom, ΔE_f (raw) -0.43 eV per atom. Number 9: V 26.7 Å³/atom, ΔE_f (raw) -0.34 eV per atom. Number 10: V 29.4 Å³/atom, ΔE_f (raw) 0.99 eV per atom. Number 11: V 18.0 Å³/atom, ΔE_f (raw) -1.28 eV per atom. Number 12: V 25.1 Å³/atom, ΔE_f (raw) 1.76 eV per atom. Number 13: V 28.7 Å³/atom, ΔE_f (raw) 1.38 eV per atom.